A plane-wave DFT calculation with PBE-GGA was carried out for a relaxed TcSbTe2I crystal.

Unit cell a=5.187 b=5.187 c=5.495 alpha=90.00 beta=90.00 gamma=90.00
Fractional positions:
Tc 0.000 0.000 0.000
Sb 0.500 0.500 0.500
Te 0.000 0.500 0.000
Te 0.500 0.000 0.000
I 0.000 0.000 0.500

Values from the calculation:
Its crystal system is tetragonal. Its energy relative to the elements, uncorrected is 0.5294 eV per atom. The space group is P4/mmm (123). For the energy, the calculation gives -19.7 eV/cell.

=====

A plane-wave DFT calculation with PBE-GGA was carried out for a relaxed TcSb2TeI crystal.

Unit cell a=5.770 b=5.770 c=5.694 alpha=90.00 beta=90.00 gamma=90.00
Fractional positions:
Tc 0.000 0.000 0.000
Sb 0.000 0.500 0.500
Sb 0.500 0.000 0.500
Te 0.500 0.500 0.000
I 0.500 0.500 0.500

Values from the calculation:
Its crystal system is tetragonal. Its energy relative to the elements, uncorrected is 1.7531 eV per atom. The space group is P4/mmm (123). For the energy, the calculation gives -14.5 eV/cell.

=====

A plane-wave DFT calculation with PBE-GGA was carried out for a relaxed TcSb2TeI crystal.

Unit cell a=5.298 b=5.298 c=5.177 alpha=90.00 beta=90.00 gamma=90.00
Fractional positions:
Tc 0.000 0.000 0.000
Sb 0.000 0.500 0.000
Sb 0.500 0.000 0.000
Te 0.000 0.000 0.500
I 0.500 0.500 0.500

Values from the calculation:
Its crystal system is tetragonal. Its energy relative to the elements, uncorrected is 0.3474 eV per atom. The space group is P4/mmm (123). For the energy, the calculation gives -21.6 eV/cell.